Record 1
Computed, not measured: an optimized crystal structure of ZrGaPtAu at the PBE level of DFT.

Unit cell a=4.6580 b=4.6580 c=4.6580 alpha=60.00 beta=60.00 gamma=60.00
Fractional coordinates of all 4 atoms:
Zr  0.0000  0.0000  0.0000
Ga  0.5000  0.5000  0.5000
Pt  0.7500  0.7500  0.7500
Au  0.2500  0.2500  0.2500

Output
The calculation puts the density of states at the Fermi level at 0.73 states/eV/f.u. For the calculated formation energy, the calculation gives -15.0 kcal/mol of atoms.

---

Record 2
Computed, not measured: an optimized crystal structure of Tb3SbOs at the PBE level of DFT.

Unit cell a=7.9088 b=7.9088 c=8.7055 alpha=120.17 beta=120.17 gamma=36.48
Fractional coordinates of all 10 atoms:
Tb  0.0727  0.0727  0.2196
Tb  0.2475  0.2475  0.7606
Tb  0.4024  0.4024  0.1994
Tb  0.5976  0.5976  0.8006
Tb  0.7525  0.7525  0.2394
Tb  0.9273  0.9273  0.7804
Sb  0.3546  0.3546  0.5120
Sb  0.6454  0.6454  0.4880
Os  0.1663  0.1663  0.0017
Os  0.8337  0.8337  0.9983

Output
The calculation puts the density of states at the Fermi level at 2.72 states/eV/f.u. The value obtained for the formation energy from raw total energies is -0.500 eV per atom.

---

Record 3
Computed, not measured: an optimized crystal structure of CdInI2 at the PBE level of DFT.

Unit cell a=10.0740 b=10.0740 c=10.0740 alpha=140.53 beta=140.53 gamma=57.05
Fractional coordinates of all 8 atoms:
Cd  0.0000  0.0000  0.0000
Cd  0.7500  0.2500  0.5000
In  0.2500  0.7500  0.5000
In  0.5000  0.5000  0.0000
I  0.0765  0.6250  0.9515
I  0.3750  0.3265  0.4515
I  0.6735  0.1250  0.0485
I  0.8750  0.9235  0.5485

Output
The calculation puts the density of states at the Fermi level at 0.36 states/eV/f.u. The value obtained for the formation energy from raw total energies is -0.220 eV per atom. For the energy above the most stable polymorph in this dataset, the calculation gives 16 meV per atom.

---

Record 4
Computed, not measured: an optimized crystal structure of CuTcW2 at the PBE level of DFT.

Unit cell a=4.3920 b=4.3920 c=4.3920 alpha=60.00 beta=60.00 gamma=60.00
Fractional coordinates of all 4 atoms:
Cu  0.0000  0.0000  0.0000
Tc  0.2500  0.2500  0.2500
W  0.5000  0.5000  0.5000
W  0.7500  0.7500  0.7500

Output
The calculation puts the density of states at the Fermi level at 5.77 states/eV/f.u. For the energy above the most stable polymorph in this dataset, the calculation gives 137 meV per atom. For the calculated formation energy, the calculation gives 7.7 kcal/mol of atoms.

---

Record 5
Computed, not measured: an optimized crystal structure of Cd2HgPb4 at the PBE level of DFT.

Unit cell a=10.3434 b=10.3434 c=10.3434 alpha=28.13 beta=28.13 gamma=28.13
Fractional coordinates of all 7 atoms:
Cd  0.0983  0.0983  0.0983
Cd  0.9017  0.9017  0.9017
Hg  0.0000  0.0000  0.0000
Pb  0.2038  0.2038  0.2038
Pb  0.3825  0.3825  0.3825
Pb  0.6175  0.6175  0.6175
Pb  0.7962  0.7962  0.7962

Output
The calculation puts the density of states at the Fermi level at 3.06 states/eV/f.u. For the energy above the most stable polymorph in this dataset, the calculation gives 53 meV per atom. For the calculated formation energy, the calculation gives 2.1 kcal/mol of atoms.

---

Record 6
Computed, not measured: an optimized crystal structure of Rb2MgI2 at the PBE level of DFT.

Unit cell a=10.3011 b=10.3011 c=4.5662 alpha=90.00 beta=90.00 gamma=90.00
Fractional coordinates of all 10 atoms:
Rb  0.1429  0.3571  0.0000
Rb  0.3571  0.8571  0.0000
Rb  0.6429  0.1429  0.0000
Rb  0.8571  0.6429  0.0000
Mg  0.0000  0.0000  0.0000
Mg  0.5000  0.5000  0.0000
I  0.1550  0.6550  0.5000
I  0.3450  0.1550  0.5000
I  0.6550  0.8450  0.5000
I  0.8450  0.3450  0.5000

Output
The calculation puts the density of states at the Fermi level at 0.00 states/eV/f.u. The value obtained for the formation energy from raw total energies is -0.875 eV per atom. For the energy above the most stable polymorph in this dataset, the calculation gives 19 meV per atom.